1.
# ErIn6Pd3

Crystalline ErIn6Pd3 at its relaxed geometry (PBE, Alexandria).

**Space-group type**: P2_1/m
**DOS(E_F)**: 8.89 states/eV per cell
**Energy of formation from the pure elements**: -0.427 eV per atom
**Size of the total moment**: 0.0 Bohr magnetons per cell

a b c (Å): 4.6130 8.6211 10.9897
angles (deg): 83.51 90.00 90.00
Closest atoms and distances in Å follow each position.
Atoms (fractional coordinates):
Pd: 0.2500 0.8768 0.8428  7 In 2.77-3.06, 2 Er 2.99
Er: 0.7500 0.0597 0.7281  3 Pd 2.99-3.18, 6 In 3.11-3.32
In: 0.2500 0.8983 0.5823  4 Pd 2.80-2.94
Pd: 0.7500 0.1232 0.1572  7 In 2.77-3.06, 2 Er 2.99
Er: 0.2500 0.9403 0.2719  3 Pd 2.99-3.18, 6 In 3.11-3.32
In: 0.7500 0.7007 0.2572  3 Pd 2.71-2.72, 1 In 2.95
In: 0.7500 0.4427 0.0874  4 Pd 2.74-2.91, 1 In 3.06
In: 0.7500 0.1017 0.4177  4 Pd 2.80-2.94
Pd: 0.2500 0.6228 0.1504  6 In 2.71-2.91
In: 0.2500 0.2993 0.7428  3 Pd 2.71-2.72, 1 In 2.95
In: 0.7500 0.8692 0.0082  3 Pd 2.88-2.93, 3 In 2.95-3.22
In: 0.7500 0.6907 0.7465  4 Pd 2.77-3.06, 2 In 3.08
In: 0.2500 0.1308 0.9918  3 Pd 2.88-2.93, 3 In 2.95-3.22
Pd: 0.2500 0.2365 0.5058  8 In 2.72-3.03
Pd: 0.7500 0.7635 0.4942  8 In 2.72-3.03
Pd: 0.7500 0.3772 0.8496  6 In 2.71-2.91
In: 0.2500 0.5855 0.4327  4 Pd 2.89-3.08, 4 In 3.03-3.10
In: 0.7500 0.4145 0.5673  4 Pd 2.89-3.08, 4 In 3.03-3.10
In: 0.2500 0.5573 0.9126  4 Pd 2.74-2.91, 1 In 3.06
In: 0.2500 0.3093 0.2535  4 Pd 2.77-3.06, 2 In 3.08

2.
# K4Y3HfO8

Crystalline K4Y3HfO8 at its relaxed geometry (PBE, Alexandria).

**DFT total energy**: -7.24 eV/atom
**Space-group type**: R-3m
**DOS(E_F)**: 3.40 states/eV per cell
**Size of the total moment**: 0.0 Bohr magnetons per cell

a b c (Å): 6.8654 7.4012 6.8645
angles (deg): 117.62 120.00 90.00
Closest atoms and distances in Å follow each position.
Atoms (fractional coordinates):
K: 0.5000 0.0000 0.5000  6 O 2.76-2.78
O: 0.7294 0.6884 0.4589  3 Y 2.30-2.31
O: 0.2490 0.3178 0.0334  1 Hf 2.17, 2 Y 2.35
K: 0.0000 0.0000 0.5000  6 O 2.76-2.78
O: 0.2156 0.6822 0.4313  1 Hf 2.17, 2 Y 2.35
O: 0.7844 0.3178 0.5687  1 Hf 2.17, 2 Y 2.35
O: 0.7510 0.6822 0.9666  1 Hf 2.17, 2 Y 2.35
Y: 0.0000 0.5000 0.5000  6 O 2.31-2.35
K: 0.0000 0.0000 0.0000  6 O 2.76-2.78
O: 0.7844 0.3178 0.0334  1 Hf 2.17, 2 Y 2.35
O: 0.2706 0.3116 0.5411  3 Y 2.30-2.31
K: 0.5000 0.0000 0.0000  6 O 2.91
Hf: 0.0000 0.5000 0.0000  6 O 2.17
Y: 0.5000 0.5000 0.5000  6 O 2.31-2.35
Y: 0.5000 0.5000 0.0000  6 O 2.30-2.35
O: 0.2156 0.6822 0.9666  1 Hf 2.17, 2 Y 2.35

3.
# Tb4Sm5Th2

Crystalline Tb4Sm5Th2 at its relaxed geometry (PBE, Alexandria).

**Space-group type**: Immm
**DOS(E_F)**: 17.50 states/eV per cell
**Energy of formation from the pure elements**: 0.486 eV per atom
**Size of the total moment**: 0.0 Bohr magnetons per cell

a b c (Å): 3.4286 9.2775 13.3397
angles (deg): 110.35 97.38 90.00
Closest atoms and distances in Å follow each position.
Atoms (fractional coordinates):
Sm: 0.5000 0.0000 0.0000  4 Th 3.18, 4 Tb 3.41, 2 Sm 3.43
Tb: 0.0000 0.6819 0.0000  3 Tb 3.38-3.43, 2 Sm 3.41
Th: 0.8921 0.8921 0.7842  4 Sm 3.18-3.21, 1 Tb 3.25, 2 Th 3.43
Tb: 0.0000 0.3181 0.0000  3 Tb 3.38-3.43, 2 Sm 3.41
Sm: 0.1566 0.4776 0.3132  1 Th 3.21, 3 Sm 3.32-3.43, 2 Tb 3.52
Th: 0.1079 0.1079 0.2158  4 Sm 3.18-3.21, 1 Tb 3.25, 2 Th 3.43
Tb: 0.7608 0.7608 0.5217  1 Th 3.25, 2 Tb 3.43, 6 Sm 3.52-3.61
Sm: 0.1566 0.8355 0.3132  1 Th 3.21, 3 Sm 3.32-3.43, 2 Tb 3.52
Sm: 0.8434 0.5224 0.6868  1 Th 3.21, 3 Sm 3.32-3.43, 2 Tb 3.52
Tb: 0.2392 0.2392 0.4783  1 Th 3.25, 2 Tb 3.43, 6 Sm 3.52-3.61
Sm: 0.8434 0.1645 0.6868  1 Th 3.21, 3 Sm 3.32-3.43, 2 Tb 3.52

4.
# BeReW2

Crystalline BeReW2 at its relaxed geometry (PBE, Alexandria).

**Space-group type**: P4mm
**DOS(E_F)**: 3.09 states/eV per cell
**Energy of formation from the pure elements**: 0.128 eV per atom
**Size of the total moment**: 0.0 Bohr magnetons per cell

a b c (Å): 3.1703 3.1703 5.6704
angles (deg): 90.00 90.00 90.00
Closest atoms and distances in Å follow each position.
Atoms (fractional coordinates):
Re: 0.5000 0.5000 0.7221  5 W 2.55-2.73, 4 Be 2.55
W: 0.0000 0.0000 0.9982  4 W 2.73, 4 Re 2.73, 2 Be 2.78-2.89
Be: 0.0000 0.0000 0.5072  4 Re 2.55, 5 W 2.61-2.78
W: 0.5000 0.5000 0.2725  1 Re 2.55, 4 Be 2.61, 4 W 2.73

5.
# Mg2RhBr

Crystalline Mg2RhBr at its relaxed geometry (PBE, Alexandria).

**DFT total energy**: -3.50 eV/atom
**Space-group type**: C2/m
**DOS(E_F)**: 2.65 states/eV per cell
**Size of the total moment**: 0.0 Bohr magnetons per cell

a b c (Å): 3.4362 3.4362 8.0483
angles (deg): 78.01 78.01 61.10
Closest atoms and distances in Å follow each position.
Atoms (fractional coordinates):
Mg: 0.0162 0.0162 0.9687  3 Rh 2.62-2.63, 1 Br 2.92
Br: 0.2500 0.2500 0.2500  6 Mg 2.92-2.99
Mg: 0.4838 0.4838 0.5313  3 Rh 2.62-2.63, 1 Br 2.92
Rh: 0.7500 0.7500 0.7500  6 Mg 2.62-2.63

6.
# RbInFeCl6

Crystalline RbInFeCl6 at its relaxed geometry (PBE, Alexandria).

**DFT total energy**: -3.77 eV/atom
**Space-group type**: C2
**DOS(E_F)**: 5.77 states/eV per cell
**Size of the total moment**: 4.0 Bohr magnetons per cell

a b c (Å): 6.6146 6.6148 7.3327
angles (deg): 89.95 90.05 59.96
Closest atoms and distances in Å follow each position.
Atoms (fractional coordinates):
Cl: 0.6245 0.3851 0.6979  1 Fe 2.49, 1 In 2.56
Cl: 0.9904 0.6272 0.6964  1 Fe 2.48, 1 In 2.57
Cl: 0.3850 0.6246 0.3021  1 Fe 2.49, 1 In 2.56
Cl: 0.6272 0.9904 0.3036  1 Fe 2.48, 1 In 2.57
Fe: 0.6671 0.6671 0.5000  6 Cl 2.48-2.49
Cl: 0.3813 0.9907 0.6958  1 Fe 2.49, 1 In 2.57
Rb: 0.0001 0.0001 0.0000  6 Cl 3.35
In: 0.3335 0.3336 0.5000  6 Cl 2.56-2.57
Cl: 0.9907 0.3813 0.3042  1 Fe 2.49, 1 In 2.57

7.
# Be2TlCl

Crystalline Be2TlCl at its relaxed geometry (PBE, Alexandria).

**DFT total energy**: -2.72 eV/atom
**Space-group type**: P4mm
**DOS(E_F)**: 0.34 states/eV per cell
**Size of the total moment**: 0.0 Bohr magnetons per cell

a b c (Å): 3.1303 3.1303 7.9685
angles (deg): 90.00 90.00 90.00
Closest atoms and distances in Å follow each position.
Atoms (fractional coordinates):
Tl: 0.5000 0.5000 0.7569  1 Be 2.88, 4 Tl 3.13
Cl: 0.0000 0.0000 0.4342  1 Be 1.94
Be: 0.0000 0.0000 0.1908  1 Cl 1.94
Be: 0.5000 0.5000 0.1180  4 Be 2.29

8.
# Be3SnAu

Crystalline Be3SnAu at its relaxed geometry (PBE, Alexandria).

**Space-group type**: Pm-3m
**DOS(E_F)**: 1.25 states/eV per cell
**Energy of formation from the pure elements**: 0.481 eV per atom
**Size of the total moment**: 0.0 Bohr magnetons per cell

a b c (Å): 4.4312 4.4312 4.4312
angles (deg): 90.00 90.00 90.00
Closest atoms and distances in Å follow each position.
Atoms (fractional coordinates):
Be: 0.0000 0.5000 0.0000  2 Au 2.22
Be: 0.5000 0.0000 0.0000  2 Au 2.22
Be: 0.0000 0.0000 0.5000  2 Au 2.22
Sn: 0.5000 0.5000 0.5000  12 Be 3.13
Au: 0.0000 0.0000 0.0000  6 Be 2.22

9.
# CoTcPt2

Crystalline CoTcPt2 at its relaxed geometry (PBE, Alexandria).

**Space-group type**: I-4m2
**DOS(E_F)**: 5.71 states/eV per cell
**Energy of formation from the pure elements**: -0.043 eV per atom
**Size of the total moment**: 1.2 Bohr magnetons per cell

a b c (Å): 4.7114 4.7114 4.7114
angles (deg): 132.03 132.03 70.19
Closest atoms and distances in Å follow each position.
Atoms (fractional coordinates):
Pt: 0.0000 0.0000 0.0000  4 Tc 2.71, 4 Co 2.72, 4 Pt 2.72
Pt: 0.2500 0.7500 0.5000  4 Co 2.71, 4 Tc 2.72, 4 Pt 2.72
Co: 0.7500 0.2500 0.5000  8 Pt 2.71-2.72, 4 Tc 2.72
Tc: 0.5000 0.5000 0.0000  8 Pt 2.71-2.72, 4 Co 2.72

10.
# MgAg3

Crystalline MgAg3 at its relaxed geometry (PBE, Alexandria).

**Space-group type**: C2/m
**DOS(E_F)**: 1.05 states/eV per cell
**Energy of formation from the pure elements**: -0.122 eV per atom
**Size of the total moment**: 0.0 Bohr magnetons per cell

a b c (Å): 5.0979 5.0979 11.8523
angles (deg): 150.32 150.32 34.53
Closest atoms and distances in Å follow each position.
Atoms (fractional coordinates):
Ag: 0.9975 0.9975 0.4988  3 Mg 2.91-2.97, 9 Ag 2.93-3.03
Mg: 0.0000 0.0000 0.2500  10 Ag 2.91-2.97, 2 Mg 3.03
Ag: 0.0000 0.0000 0.7500  8 Ag 2.93-3.03, 4 Mg 2.94
Ag: 0.0025 0.0025 0.0012  3 Mg 2.91-2.97, 9 Ag 2.93-3.03

11.
# CoCuHgPt2

Crystalline CoCuHgPt2 at its relaxed geometry (PBE, Alexandria).

**Space-group type**: P4/mmm
**DOS(E_F)**: 3.36 states/eV per cell
**Energy of formation from the pure elements**: 0.935 eV per atom
**Size of the total moment**: 2.3 Bohr magnetons per cell

a b c (Å): 4.5794 4.8466 4.5794
angles (deg): 90.00 90.00 90.00
Closest atoms and distances in Å follow each position.
Atoms (fractional coordinates):
Co: 0.0000 0.0000 0.0000  4 Pt 2.29, 2 Hg 2.42
Pt: 0.0000 0.0000 0.5000  2 Co 2.29
Hg: 0.0000 0.5000 0.0000  2 Co 2.42
Pt: 0.5000 0.0000 0.0000  2 Co 2.29
Cu: 0.5000 0.5000 0.5000  4 Hg 3.24, 8 Pt 3.33

12.
# CdTc2Pb

Crystalline CdTc2Pb at its relaxed geometry (PBE, Alexandria).

**Space-group type**: Pm
**DOS(E_F)**: 1.67 states/eV per cell
**Energy of formation from the pure elements**: 0.209 eV per atom
**Size of the total moment**: 0.0 Bohr magnetons per cell

a b c (Å): 3.0745 3.0764 8.6827
angles (deg): 79.97 90.00 90.00
Closest atoms and distances in Å follow each position.
Atoms (fractional coordinates):
Pb: 0.5000 0.5377 0.7930  4 Pb 3.07-3.08, 4 Tc 3.10, 2 Cd 3.35
Cd: 0.0000 0.7177 0.4452  4 Tc 2.96, 4 Cd 3.07-3.08
Tc: 0.0000 0.9110 0.0519  4 Tc 2.56
Tc: 0.5000 0.3335 0.2099  4 Tc 2.56

Please write out number 3 again, unchanged.
# Tb4Sm5Th2

Crystalline Tb4Sm5Th2 at its relaxed geometry (PBE, Alexandria).

**Space-group type**: Immm
**DOS(E_F)**: 17.50 states/eV per cell
**Energy of formation from the pure elements**: 0.486 eV per atom
**Size of the total moment**: 0.0 Bohr magnetons per cell

a b c (Å): 3.4286 9.2775 13.3397
angles (deg): 110.35 97.38 90.00
Closest atoms and distances in Å follow each position.
Atoms (fractional coordinates):
Sm: 0.5000 0.0000 0.0000  4 Th 3.18, 4 Tb 3.41, 2 Sm 3.43
Tb: 0.0000 0.6819 0.0000  3 Tb 3.38-3.43, 2 Sm 3.41
Th: 0.8921 0.8921 0.7842  4 Sm 3.18-3.21, 1 Tb 3.25, 2 Th 3.43
Tb: 0.0000 0.3181 0.0000  3 Tb 3.38-3.43, 2 Sm 3.41
Sm: 0.1566 0.4776 0.3132  1 Th 3.21, 3 Sm 3.32-3.43, 2 Tb 3.52
Th: 0.1079 0.1079 0.2158  4 Sm 3.18-3.21, 1 Tb 3.25, 2 Th 3.43
Tb: 0.7608 0.7608 0.5217  1 Th 3.25, 2 Tb 3.43, 6 Sm 3.52-3.61
Sm: 0.1566 0.8355 0.3132  1 Th 3.21, 3 Sm 3.32-3.43, 2 Tb 3.52
Sm: 0.8434 0.5224 0.6868  1 Th 3.21, 3 Sm 3.32-3.43, 2 Tb 3.52
Tb: 0.2392 0.2392 0.4783  1 Th 3.25, 2 Tb 3.43, 6 Sm 3.52-3.61
Sm: 0.8434 0.1645 0.6868  1 Th 3.21, 3 Sm 3.32-3.43, 2 Tb 3.52